A plane-wave DFT calculation with GGA-PBE was carried out for crystalline BaHg3Pd at its relaxed geometry.

Summary:
Formation energy in eV/f.u.: -2.0
ΔE to the lowest computed polymorph in eV per atom: 0.000
Crystal system: hexagonal

a b c (Å): 5.950 7.303 7.303
angles (deg): 120.01 90.00 90.00
Fractional coordinates of all 10 atoms:
Hg: 0.750 0.624 0.812
Hg: 0.250 0.812 0.624
Hg: 0.750 0.188 0.812
Hg: 0.750 0.188 0.376
Hg: 0.250 0.812 0.188
Hg: 0.250 0.376 0.188
Ba: 0.750 0.667 0.333
Ba: 0.250 0.333 0.667
Pd: 0.000 0.000 0.000
Pd: 0.500 0.000 0.000